Entry 1:
Density functional theory data (PBE) for a geometry-optimized Gd2HoZn structure.

Cell lengths 4.770, 4.755, 4.755 Å; angles 90.00, 90.00, 90.00 degrees
Each line ends with the local moment (μB).
Sites, in units of the cell vectors:
Gd  0.000  0.000  0.500  7.30
Gd  0.000  0.500  0.000  7.30
Ho  0.500  0.500  0.500  0.27
Zn  0.500  0.000  0.000  -0.02

Calculated values
The space group is No. 123. As for the crystal system: tetragonal. The value obtained for the total energy is -8.551 eV/atom.

Entry 2:
Density functional theory data (PBE) for a geometry-optimized LiMnSb structure.

Cell lengths 4.496, 4.496, 6.634 Å; angles 90.00, 90.00, 90.00 degrees
Each line ends with the local moment (μB).
Sites, in units of the cell vectors:
Li  0.500  0.500  0.500  0.02
Li  0.000  0.000  0.500  0.02
Mn  0.000  0.000  0.000  3.85
Sb  0.500  0.000  0.238  -0.04
Sb  0.000  0.500  0.762  -0.04
Mn  0.500  0.500  0.000  3.85

Calculated values
The space group is No. 129. As for the crystal system: tetragonal. Its raw formation energy is -9.7 kJ/mol of atoms. The value obtained for the total energy is -5.169 eV/atom.